1.
# Al5Cl

A relaxed structure of Al5Cl (GGA-PBE, the Alexandria database).

Cell and atoms, written as CIF:
```
data_Al5Cl
_cell_length_a 3.123
_cell_length_b 3.123
_cell_length_c 11.025
_cell_angle_alpha 90.00
_cell_angle_beta 90.00
_cell_angle_gamma 90.00
_space_group_name_H-M_alt 'P 1'
_space_group_IT_number 1
_space_group_name_Hall 'P 1'
loop_
_atom_site_label
_atom_site_type_symbol
_atom_site_fract_x
_atom_site_fract_y
_atom_site_fract_z
Al1 Al 0.000 0.000 0.000
Al2 Al 0.000 0.000 0.313
Al3 Al 0.000 0.000 0.687
Al4 Al 0.500 0.500 0.157
Al5 Al 0.500 0.500 0.843
Cl1 Cl 0.500 0.500 0.500
```

Summary:
Energy relative to the elements, uncorrected = 0.0006 eV/atom
DFT total energy = -3.426 eV/atom
Relative energy among the computed polymorphs = 32.4 meV per atom

---

2.
# Mg2MnB10

A relaxed structure of Mg2MnB10 (GGA-PBE, the Alexandria database).

Cell and atoms, written as CIF:
```
data_Mg2MnB10
_cell_length_a 5.505
_cell_length_b 11.370
_cell_length_c 4.141
_cell_angle_alpha 90.00
_cell_angle_beta 90.00
_cell_angle_gamma 90.00
_space_group_name_H-M_alt 'P 1'
_space_group_IT_number 1
_space_group_name_Hall 'P 1'
loop_
_atom_site_label
_atom_site_type_symbol
_atom_site_fract_x
_atom_site_fract_y
_atom_site_fract_z
Mg1 Mg 0.230 0.129 0.000
Mg2 Mg 0.270 0.629 0.000
Mg3 Mg 0.730 0.371 0.000
Mg4 Mg 0.770 0.871 0.000
Mn1 Mn 0.000 0.500 0.500
Mn2 Mn 0.500 0.000 0.500
B1 B 0.027 0.314 0.500
B2 B 0.119 0.955 0.500
B3 B 0.158 0.800 0.500
B4 B 0.208 0.383 0.199
B5 B 0.208 0.383 0.801
B6 B 0.292 0.883 0.199
B7 B 0.292 0.883 0.801
B8 B 0.342 0.300 0.500
B9 B 0.381 0.455 0.500
B10 B 0.473 0.814 0.500
B11 B 0.527 0.186 0.500
B12 B 0.619 0.545 0.500
B13 B 0.658 0.700 0.500
B14 B 0.708 0.117 0.199
B15 B 0.708 0.117 0.801
B16 B 0.792 0.617 0.199
B17 B 0.792 0.617 0.801
B18 B 0.842 0.200 0.500
B19 B 0.881 0.045 0.500
B20 B 0.973 0.686 0.500
```

Summary:
DFT total energy = -6.069 eV/atom
ΔH_f (0 K) = 0.24 eV/f.u.

---

3.
# BRh2F

A relaxed structure of BRh2F (GGA-PBE, the Alexandria database).

Cell and atoms, written as CIF:
```
data_BRh2F
_cell_length_a 4.788
_cell_length_b 4.788
_cell_length_c 9.963
_cell_angle_alpha 90.00
_cell_angle_beta 90.00
_cell_angle_gamma 90.00
_space_group_name_H-M_alt 'P 1'
_space_group_IT_number 1
_space_group_name_Hall 'P 1'
loop_
_atom_site_label
_atom_site_type_symbol
_atom_site_fract_x
_atom_site_fract_y
_atom_site_fract_z
B1 B 0.000 0.000 0.000
B2 B 0.000 0.500 0.250
B3 B 0.500 0.000 0.750
B4 B 0.500 0.500 0.500
Rh1 Rh 0.196 0.250 0.125
Rh2 Rh 0.250 0.696 0.375
Rh3 Rh 0.250 0.804 0.875
Rh4 Rh 0.304 0.250 0.625
Rh5 Rh 0.696 0.750 0.625
Rh6 Rh 0.750 0.196 0.875
Rh7 Rh 0.750 0.304 0.375
Rh8 Rh 0.804 0.750 0.125
F1 F 0.000 0.000 0.500
F2 F 0.000 0.500 0.750
F3 F 0.500 0.000 0.250
F4 F 0.500 0.500 0.000
```

Summary:
Energy relative to the elements, uncorrected = -0.1122 eV/atom
DFT total energy = -5.925 eV/atom
Relative energy among the computed polymorphs = 0.0 meV per atom

---

4.
# ZrGa3Se

A relaxed structure of ZrGa3Se (GGA-PBE, the Alexandria database).

Cell and atoms, written as CIF:
```
data_ZrGa3Se
_cell_length_a 5.326
_cell_length_b 5.326
_cell_length_c 5.326
_cell_angle_alpha 90.00
_cell_angle_beta 90.00
_cell_angle_gamma 90.00
_space_group_name_H-M_alt 'P 1'
_space_group_IT_number 1
_space_group_name_Hall 'P 1'
loop_
_atom_site_label
_atom_site_type_symbol
_atom_site_fract_x
_atom_site_fract_y
_atom_site_fract_z
Zr1 Zr 0.000 0.000 0.000
Ga1 Ga 0.000 0.000 0.500
Ga2 Ga 0.000 0.500 0.000
Ga3 Ga 0.500 0.000 0.000
Se1 Se 0.500 0.500 0.500
```

Summary:
Energy relative to the elements, uncorrected = 0.6595 eV/atom
DFT total energy = -3.563 eV/atom
Relative energy among the computed polymorphs = 50.0 meV per atom

---

5.
# Na2AsPd2O6

A relaxed structure of Na2AsPd2O6 (GGA-PBE, the Alexandria database).

Cell and atoms, written as CIF:
```
data_Na2AsPd2O6
_cell_length_a 5.308
_cell_length_b 5.308
_cell_length_c 5.962
_cell_angle_alpha 102.85
_cell_angle_beta 102.85
_cell_angle_gamma 114.06
_space_group_name_H-M_alt 'P 1'
_space_group_IT_number 1
_space_group_name_Hall 'P 1'
loop_
_atom_site_label
_atom_site_type_symbol
_atom_site_fract_x
_atom_site_fract_y
_atom_site_fract_z
Na1 Na 0.181 0.819 0.000
Na2 Na 0.819 0.181 0.000
As1 As 0.000 0.000 0.500
Pd1 Pd 0.329 0.671 0.500
Pd2 Pd 0.671 0.329 0.500
O1 O 0.040 0.343 0.709
O2 O 0.234 0.234 0.327
O3 O 0.343 0.040 0.709
O4 O 0.657 0.960 0.291
O5 O 0.766 0.766 0.673
O6 O 0.960 0.657 0.291
```

Summary:
Energy relative to the elements, uncorrected = -0.9862 eV/atom
DFT total energy = -5.297 eV/atom

---

6.
# TaCSeBr2

A relaxed structure of TaCSeBr2 (GGA-PBE, the Alexandria database).

Cell and atoms, written as CIF:
```
data_TaCSeBr2
_cell_length_a 5.165
_cell_length_b 5.165
_cell_length_c 4.965
_cell_angle_alpha 90.00
_cell_angle_beta 90.00
_cell_angle_gamma 90.00
_space_group_name_H-M_alt 'P 1'
_space_group_IT_number 1
_space_group_name_Hall 'P 1'
loop_
_atom_site_label
_atom_site_type_symbol
_atom_site_fract_x
_atom_site_fract_y
_atom_site_fract_z
Ta1 Ta 0.000 0.000 0.000
C1 C 0.500 0.500 0.500
Se1 Se 0.000 0.000 0.500
Br1 Br 0.000 0.500 0.000
Br2 Br 0.500 0.000 0.000
```

Summary:
Energy relative to the elements, uncorrected = 1.1527 eV/atom
DFT total energy = -4.429 eV/atom
Relative energy among the computed polymorphs = 0.0 meV per atom

---

7.
# MgSb4Au

A relaxed structure of MgSb4Au (GGA-PBE, the Alexandria database).

Cell and atoms, written as CIF:
```
data_MgSb4Au
_cell_length_a 6.179
_cell_length_b 6.179
_cell_length_c 6.179
_cell_angle_alpha 60.00
_cell_angle_beta 60.00
_cell_angle_gamma 60.00
_space_group_name_H-M_alt 'P 1'
_space_group_IT_number 1
_space_group_name_Hall 'P 1'
loop_
_atom_site_label
_atom_site_type_symbol
_atom_site_fract_x
_atom_site_fract_y
_atom_site_fract_z
Mg1 Mg 0.000 0.000 0.000
Sb1 Sb 0.128 0.624 0.624
Sb2 Sb 0.624 0.128 0.624
Sb3 Sb 0.624 0.624 0.128
Sb4 Sb 0.624 0.624 0.624
Au1 Au 0.250 0.250 0.250
```

Summary:
Energy relative to the elements, uncorrected = 0.3311 eV/atom
DFT total energy = -3.229 eV/atom